Compound: Sr2Cd4Sn3Bi
Source: the Alexandria database
Functional: PBE
Structure: relaxed

Calculated values
Density of states at the Fermi level ... 0.31 states/eV/atom
SG ... No. 115

abc: 4.967 4.967 12.171
angles: 90.00 90.00 90.00
Element x y z (fractional)
Sr 0.500 0.000 0.241
Sr 0.000 0.500 0.759
Cd 0.500 0.500 0.000
Cd 0.000 0.000 0.000
Cd 0.500 0.000 0.640
Cd 0.000 0.500 0.360
Sn 0.000 0.000 0.500
Sn 0.500 0.000 0.867
Sn 0.000 0.500 0.133
Bi 0.500 0.500 0.500

***

Compound: Ti2CdSnBi
Source: the Alexandria database
Functional: PBE
Structure: relaxed

Calculated values
Density of states at the Fermi level ... 1.20 states/eV/atom
SG ... No. 123

abc: 5.111 5.484 5.111
angles: 90.00 90.00 90.00
Element x y z (fractional)
Cd 0.000 0.000 0.000
Ti 0.000 0.000 0.500
Ti 0.500 0.000 0.000
Bi 0.000 0.500 0.000
Sn 0.500 0.500 0.500

***

Compound: Tl2CdSnBi2
Source: the Alexandria database
Functional: PBE
Structure: relaxed

Calculated values
Density of states at the Fermi level ... 0.46 states/eV/atom
SG ... No. 72

abc: 7.316 7.361 9.152
angles: 113.71 113.56 90.00
Element x y z (fractional)
Tl 0.416 0.160 0.321
Tl 0.584 0.840 0.679
Tl 0.096 0.340 0.679
Tl 0.904 0.660 0.321
Cd 0.500 0.750 0.000
Cd 0.500 0.250 0.000
Sn 0.000 0.750 0.000
Sn 0.000 0.250 0.000
Bi 0.856 0.117 0.235
Bi 0.379 0.617 0.235
Bi 0.621 0.383 0.765
Bi 0.144 0.883 0.765

***

Compound: Tl4CdSn2Bi2
Source: the Alexandria database
Functional: PBE
Structure: relaxed

Calculated values
Density of states at the Fermi level ... 0.48 states/eV/atom
SG ... No. 2

abc: 8.348 6.625 8.662
angles: 128.53 122.77 86.69
Element x y z (fractional)
Tl 0.631 0.788 0.961
Tl 0.846 0.740 0.451
Tl 0.369 0.212 0.039
Tl 0.154 0.260 0.549
Cd 0.000 0.000 0.000
Sn 0.692 0.225 0.854
Sn 0.308 0.775 0.146
Bi 0.256 0.705 0.442
Bi 0.744 0.295 0.558

***

Compound: ZnCdSnBi
Source: the Alexandria database
Functional: PBE
Structure: relaxed

Calculated values
Density of states at the Fermi level ... 0.36 states/eV/atom
SG ... No. 216

abc: 5.269 5.269 5.269
angles: 60.00 60.00 60.00
Element x y z (fractional)
Zn 0.250 0.250 0.250
Cd 0.500 0.500 0.500
Bi 0.750 0.750 0.750
Sn 0.000 0.000 0.000

***

Compound: SrCdBi2
Source: the Alexandria database
Functional: PBE
Structure: relaxed

Calculated values
Density of states at the Fermi level ... 0.35 states/eV/atom
SG ... No. 139

abc: 11.963 11.963 11.963
angles: 157.28 157.28 32.34
Element x y z (fractional)
Sr 0.117 0.117 0.000
Sr 0.883 0.883 0.000
Bi 0.662 0.662 0.000
Bi 0.000 0.500 0.500
Bi 0.338 0.338 0.000
Bi 0.500 0.000 0.500
Cd 0.750 0.250 0.500
Cd 0.250 0.750 0.500

***

Compound: Sr4Cd5Bi6
Source: the Alexandria database
Functional: PBE
Structure: relaxed

Calculated values
Density of states at the Fermi level ... 0.13 states/eV/atom
SG ... No. 36

abc: 4.884 11.935 17.796
angles: 90.00 90.00 101.81
Element x y z (fractional)
Sr 0.967 0.935 0.275
Sr 0.033 0.065 0.775
Sr 0.164 0.328 0.294
Sr 0.836 0.672 0.794
Sr 0.827 0.654 0.449
Sr 0.173 0.346 0.949
Sr 0.015 0.029 0.495
Sr 0.985 0.971 0.995
Cd 0.440 0.881 0.699
Cd 0.560 0.119 0.199
Cd 0.143 0.286 0.631
Cd 0.857 0.714 0.131
Cd 0.682 0.364 0.429
Cd 0.318 0.636 0.929
Cd 0.312 0.624 0.630
Cd 0.688 0.376 0.130
Cd 0.346 0.692 0.267
Cd 0.654 0.308 0.767
Bi 0.769 0.538 0.264
Bi 0.419 0.838 0.403
Bi 0.775 0.551 0.005
Bi 0.225 0.449 0.505
Bi 0.435 0.870 0.867
Bi 0.565 0.130 0.367
Bi 0.439 0.878 0.130
Bi 0.561 0.122 0.630
Bi 0.104 0.208 0.117
Bi 0.896 0.792 0.617
Bi 0.581 0.162 0.903
Bi 0.231 0.462 0.764

***

Compound: SrCdBi3
Source: the Alexandria database
Functional: PBE
Structure: relaxed

Calculated values
Density of states at the Fermi level ... 0.49 states/eV/atom
Energy relative to the lowest polymorph listed for this composition ... 41 meV per atom
SG ... No. 1

abc: 7.109 7.104 9.922
angles: 70.95 70.86 54.31
Element x y z (fractional)
Sr 0.410 0.535 0.525
Sr 0.685 0.812 0.718
Cd 0.081 0.209 0.637
Cd 0.921 0.053 0.119
Bi 0.940 0.065 0.402
Bi 0.637 0.278 0.874
Bi 0.151 0.765 0.874
Bi 0.162 0.290 0.884
Bi 0.942 0.577 0.363
Bi 0.454 0.065 0.364

***

Compound: SrCd3Bi3
Source: the Alexandria database
Functional: PBE
Structure: relaxed

Calculated values
Density of states at the Fermi level ... 0.55 states/eV/atom
Energy relative to the lowest polymorph listed for this composition ... 240 meV per atom
SG ... No. 223

abc: 8.203 8.203 8.203
angles: 90.00 90.00 90.00
Element x y z (fractional)
Sr 0.500 0.500 0.500
Sr 0.000 0.000 0.000
Bi 0.250 0.000 0.500
Bi 0.000 0.500 0.250
Bi 0.500 0.750 0.000
Bi 0.750 0.000 0.500
Bi 0.000 0.500 0.750
Bi 0.500 0.250 0.000
Cd 0.000 0.250 0.500
Cd 0.000 0.750 0.500
Cd 0.500 0.000 0.750
Cd 0.750 0.500 0.000
Cd 0.500 0.000 0.250
Cd 0.250 0.500 0.000

***

Compound: Sr6Cd5Bi
Source: the Alexandria database
Functional: PBE
Structure: relaxed

Calculated values
Density of states at the Fermi level ... 0.53 states/eV/atom
SG ... No. 12

abc: 5.769 10.020 10.020
angles: 120.41 106.75 106.75
Element x y z (fractional)
Sr 0.250 0.083 0.416
Sr 0.750 0.584 0.917
Sr 0.750 0.250 0.250
Sr 0.250 0.750 0.750
Sr 0.250 0.416 0.083
Sr 0.750 0.917 0.584
Bi 0.000 0.000 0.000
Cd 0.500 0.174 0.826
Cd 0.000 0.334 0.666
Cd 0.500 0.500 0.500
Cd 0.000 0.666 0.334
Cd 0.500 0.826 0.174

***

Compound: Sr2CdBi3
Source: the Alexandria database
Functional: PBE
Structure: relaxed

Calculated values
Density of states at the Fermi level ... 0.28 states/eV/atom
SG ... No. 62

abc: 4.866 8.383 20.329
angles: 90.00 90.00 90.00
Element x y z (fractional)
Sr 0.250 0.653 0.583
Sr 0.750 0.847 0.083
Sr 0.250 0.153 0.917
Sr 0.750 0.347 0.417
Sr 0.250 0.638 0.792
Sr 0.750 0.862 0.292
Sr 0.250 0.138 0.708
Sr 0.750 0.362 0.208
Cd 0.250 0.951 0.438
Cd 0.750 0.549 0.938
Cd 0.250 0.451 0.062
Cd 0.750 0.049 0.562
Bi 0.250 0.748 0.967
Bi 0.750 0.752 0.467
Bi 0.250 0.248 0.533
Bi 0.750 0.252 0.033
Bi 0.250 0.080 0.168
Bi 0.750 0.420 0.668
Bi 0.250 0.580 0.332
Bi 0.750 0.920 0.832
Bi 0.250 0.660 0.184
Bi 0.750 0.840 0.684
Bi 0.250 0.160 0.316
Bi 0.750 0.340 0.816

***

Compound: Sr9Cd4Bi9
Source: the Alexandria database
Functional: PBE
Structure: relaxed

Calculated values
Density of states at the Fermi level ... 0.32 states/eV/atom
SG ... No. 55

abc: 4.968 13.394 23.650
angles: 90.00 90.00 90.00
Element x y z (fractional)
Sr 0.000 0.370 0.635
Sr 0.000 0.568 0.911
Sr 0.000 0.630 0.365
Sr 0.000 0.432 0.089
Sr 0.000 0.130 0.135
Sr 0.000 0.870 0.865
Sr 0.500 0.500 0.500
Sr 0.500 0.000 0.000
Sr 0.500 0.706 0.103
Sr 0.500 0.294 0.897
Sr 0.500 0.206 0.397
Sr 0.500 0.794 0.603
Sr 0.000 0.872 0.236
Sr 0.000 0.128 0.764
Sr 0.000 0.372 0.264
Sr 0.000 0.628 0.736
Sr 0.000 0.932 0.411
Sr 0.000 0.068 0.589
Cd 0.500 0.731 0.955
Cd 0.500 0.269 0.045
Cd 0.500 0.231 0.545
Cd 0.500 0.769 0.455
Cd 0.500 0.611 0.262
Cd 0.500 0.111 0.238
Cd 0.500 0.389 0.738
Cd 0.500 0.889 0.762
Bi 0.500 0.809 0.331
Bi 0.500 0.191 0.669
Bi 0.500 0.309 0.169
Bi 0.500 0.691 0.831
Bi 0.500 0.954 0.145
Bi 0.500 0.046 0.855
Bi 0.500 0.454 0.355
Bi 0.500 0.546 0.645
Bi 0.000 0.615 0.193
Bi 0.000 0.385 0.807
Bi 0.000 0.115 0.307
Bi 0.000 0.885 0.693
Bi 0.000 0.812 0.012
Bi 0.000 0.188 0.988
Bi 0.000 0.312 0.488
Bi 0.000 0.688 0.512
Bi 0.500 0.000 0.500
Bi 0.500 0.500 0.000

***

Asked for calculated formation energy across the records above, the calculation gives -7.23 23.39 0.45 0.91 3.50 -10.89 -10.92 -5.79 0.50 -10.10 -12.84 -16.72 kcal/mol of atoms in order.